[1]
Below is a relaxed structure of LaCd9In2, with properties calculated at the PBE level.

a b c (Å): 8.297 9.361 9.361
angles (deg): 78.67 63.70 63.70
Atoms (fractional coordinates):
La (0.500, 0.000, 0.000)
La (0.250, 0.500, 0.500)
Cd (0.750, 0.500, 0.500)
Cd (0.000, 0.000, 0.000)
Cd (0.996, 0.915, 0.675)
Cd (0.586, 0.085, 0.325)
Cd (0.661, 0.175, 0.585)
Cd (0.421, 0.825, 0.415)
Cd (0.754, 0.825, 0.585)
Cd (0.164, 0.175, 0.415)
Cd (0.089, 0.915, 0.325)
Cd (0.329, 0.085, 0.675)
Cd (0.754, 0.585, 0.825)
Cd (0.164, 0.415, 0.175)
Cd (0.089, 0.325, 0.915)
Cd (0.329, 0.675, 0.085)
Cd (0.996, 0.675, 0.915)
Cd (0.586, 0.325, 0.085)
Cd (0.661, 0.585, 0.175)
Cd (0.421, 0.415, 0.825)
In (0.875, 0.250, 0.750)
In (0.875, 0.750, 0.250)
In (0.875, 0.250, 0.250)
In (0.375, 0.750, 0.750)

Values from the calculation:
Uncorrected energy in eV/cell: -39.55
Total magnetic moment in μB per cell: 0.00
D(E_F) in states/eV/f.u.: 4.43

***

[2]
Below is a relaxed structure of LaCdIn2, with properties calculated at the PBE level.

a b c (Å): 4.833 4.833 6.201
angles (deg): 67.11 67.11 60.05
Atoms (fractional coordinates):
Cd (0.250, 0.250, 0.250)
In (0.977, 0.977, 0.071)
In (0.523, 0.523, 0.429)
La (0.750, 0.750, 0.750)

Values from the calculation:
Uncorrected energy in eV/cell: -12.69
Total magnetic moment in μB per cell: 0.00
D(E_F) in states/eV/f.u.: 1.61

***

[3]
Below is a relaxed structure of La6Cd3In, with properties calculated at the PBE level.

a b c (Å): 5.518 9.785 12.187
angles (deg): 106.97 90.00 90.00
Atoms (fractional coordinates):
La (0.250, 0.465, 0.084)
La (0.750, 0.535, 0.916)
La (0.250, 0.121, 0.151)
La (0.750, 0.879, 0.849)
La (0.250, 0.656, 0.677)
La (0.750, 0.344, 0.323)
La (0.250, 0.262, 0.502)
La (0.750, 0.738, 0.498)
La (0.250, 0.841, 0.306)
La (0.750, 0.159, 0.694)
La (0.250, 0.089, 0.879)
La (0.750, 0.911, 0.121)
Cd (0.250, 0.534, 0.372)
Cd (0.750, 0.466, 0.628)
Cd (0.250, 0.384, 0.785)
Cd (0.750, 0.616, 0.215)
Cd (0.250, 0.765, 0.973)
Cd (0.750, 0.235, 0.027)
In (0.250, 0.955, 0.598)
In (0.750, 0.045, 0.402)

Values from the calculation:
Uncorrected energy in eV/cell: -75.82
Total magnetic moment in μB per cell: 0.00
D(E_F) in states/eV/f.u.: 11.29

***

[4]
Below is a relaxed structure of LaCdIn2, with properties calculated at the PBE level.

a b c (Å): 3.543 4.234 7.322
angles (deg): 90.00 90.00 90.00
Last column: magnetic moment on the atom in μB.
Atoms (fractional coordinates):
Cd (0.500, 0.500, 0.783)  0.00
In (0.000, 0.000, 0.997)  0.00
In (0.500, 0.500, 0.219)  0.00
La (0.000, 0.000, 0.502)  0.13

Values from the calculation:
Uncorrected energy in eV/cell: -12.34
Total magnetic moment in μB per cell: 0.29
D(E_F) in states/eV/f.u.: 2.96

***

[5]
Below is a relaxed structure of LaCdIn2, with properties calculated at the PBE level.

a b c (Å): 4.959 3.422 6.548
angles (deg): 89.97 90.00 90.00
Atoms (fractional coordinates):
Cd (0.500, 0.750, 0.750)
In (0.000, 0.751, 0.999)
In (0.000, 0.749, 0.501)
La (0.500, 0.250, 0.250)

Values from the calculation:
Uncorrected energy in eV/cell: -12.49
Total magnetic moment in μB per cell: 0.00
D(E_F) in states/eV/f.u.: 2.59

***

[6]
Below is a relaxed structure of La9CdIn2, with properties calculated at the PBE level.

a b c (Å): 5.074 5.074 15.166
angles (deg): 90.00 90.00 90.00
Atoms (fractional coordinates):
La (0.500, 0.500, 0.000)
La (0.500, 0.500, 0.332)
La (0.500, 0.500, 0.668)
La (0.500, 0.000, 0.167)
La (0.500, 0.000, 0.500)
La (0.500, 0.000, 0.833)
La (0.000, 0.500, 0.167)
La (0.000, 0.500, 0.500)
La (0.000, 0.500, 0.833)
Cd (0.000, 0.000, 0.000)
In (0.000, 0.000, 0.332)
In (0.000, 0.000, 0.668)

Values from the calculation:
Uncorrected energy in eV/cell: -53.71
Total magnetic moment in μB per cell: 0.00
D(E_F) in states/eV/f.u.: 17.53

***

[7]
Below is a relaxed structure of La2Cd5In, with properties calculated at the PBE level.

a b c (Å): 6.762 6.762 6.762
angles (deg): 89.19 120.47 120.47
Atoms (fractional coordinates):
La (0.500, 0.278, 0.778)
La (0.500, 0.778, 0.278)
Cd (0.499, 0.777, 0.777)
Cd (0.000, 0.777, 0.278)
Cd (0.000, 0.278, 0.777)
Cd (0.501, 0.278, 0.278)
Cd (0.000, 0.276, 0.276)
In (0.000, 0.779, 0.779)

Values from the calculation:
Uncorrected energy in eV/cell: -19.46
Total magnetic moment in μB per cell: 0.00
Energy above the lowest structure with this stoichiometry in eV per formula unit: 0.35
D(E_F) in states/eV/f.u.: 7.82

***

[8]
Below is a relaxed structure of La6Cd2In, with properties calculated at the PBE level.

a b c (Å): 5.658 5.659 10.675
angles (deg): 90.01 90.00 120.00
Atoms (fractional coordinates):
La (0.667, 0.333, 0.991)
La (0.333, 0.667, 0.009)
La (0.000, 0.000, 0.176)
La (0.333, 0.667, 0.385)
La (0.000, 0.000, 0.824)
La (0.667, 0.333, 0.615)
Cd (0.333, 0.667, 0.703)
Cd (0.667, 0.333, 0.297)
In (0.000, 0.000, 0.500)

Values from the calculation:
Uncorrected energy in eV/cell: -36.31
Total magnetic moment in μB per cell: 0.00
Energy above the lowest structure with this stoichiometry in eV per formula unit: 0.00
D(E_F) in states/eV/f.u.: 11.56

***

[9]
Below is a relaxed structure of La4Cd3In, with properties calculated at the PBE level.

a b c (Å): 5.570 5.570 9.665
angles (deg): 73.25 73.25 60.00
Last column: magnetic moment on the atom in μB.
Atoms (fractional coordinates):
Cd (0.250, 0.250, 0.251)  0.01
Cd (0.750, 0.750, 0.749)  0.01
Cd (0.500, 0.500, 0.500)  0.01
In (0.000, 0.000, 0.000)  0.00
La (0.875, 0.875, 0.375)  0.07
La (0.375, 0.375, 0.875)  0.06
La (0.125, 0.125, 0.625)  0.07
La (0.625, 0.625, 0.125)  0.06

Values from the calculation:
Uncorrected energy in eV/cell: -28.20
Total magnetic moment in μB per cell: 0.63
D(E_F) in states/eV/f.u.: 11.38

***

[10]
Below is a relaxed structure of La3Cd4In4, with properties calculated at the PBE level.

a b c (Å): 3.964 4.991 15.584
angles (deg): 80.43 82.71 90.01
Atoms (fractional coordinates):
La (0.143, 0.647, 0.714)
La (0.857, 0.353, 0.286)
La (0.000, 0.000, 0.000)
Cd (0.594, 0.096, 0.813)
Cd (0.260, 0.255, 0.481)
Cd (0.740, 0.745, 0.519)
Cd (0.406, 0.904, 0.187)
In (0.548, 0.549, 0.904)
In (0.452, 0.451, 0.096)
In (0.313, 0.808, 0.373)
In (0.687, 0.192, 0.627)

Values from the calculation:
Uncorrected energy in eV/cell: -33.69
Total magnetic moment in μB per cell: 0.00
Energy above the lowest structure with this stoichiometry in eV per formula unit: 0.37
D(E_F) in states/eV/f.u.: 6.28

***

[11]
Below is a relaxed structure of La2Cd3In2, with properties calculated at the PBE level.

a b c (Å): 4.893 6.274 7.276
angles (deg): 109.27 90.00 112.95
Atoms (fractional coordinates):
La (0.849, 0.698, 0.237)
La (0.151, 0.302, 0.763)
Cd (0.500, 0.000, 0.000)
Cd (0.597, 0.194, 0.427)
Cd (0.403, 0.806, 0.573)
In (0.849, 0.698, 0.760)
In (0.151, 0.302, 0.240)

Values from the calculation:
Uncorrected energy in eV/cell: -20.83
Total magnetic moment in μB per cell: 0.00
Energy above the lowest structure with this stoichiometry in eV per formula unit: 0.00
D(E_F) in states/eV/f.u.: 5.03

***

[12]
Below is a relaxed structure of La6CdIn3, with properties calculated at the PBE level.

a b c (Å): 8.805 8.397 9.096
angles (deg): 90.00 94.52 90.00
Atoms (fractional coordinates):
La (0.684, 0.181, 0.917)
La (0.643, 0.136, 0.558)
La (0.769, 0.389, 0.271)
La (0.231, 0.611, 0.729)
La (0.357, 0.864, 0.442)
La (0.316, 0.819, 0.083)
La (0.184, 0.319, 0.417)
La (0.143, 0.364, 0.058)
La (0.269, 0.111, 0.771)
La (0.731, 0.889, 0.229)
La (0.857, 0.636, 0.942)
La (0.816, 0.681, 0.583)
Cd (0.500, 0.500, 0.500)
Cd (0.000, 0.000, 0.000)
In (0.547, 0.833, 0.795)
In (0.500, 0.500, 0.000)
In (0.453, 0.167, 0.205)
In (0.047, 0.667, 0.295)
In (0.000, 0.000, 0.500)
In (0.953, 0.333, 0.705)

Values from the calculation:
Uncorrected energy in eV/cell: -81.92
Total magnetic moment in μB per cell: 0.00
Energy above the lowest structure with this stoichiometry in eV per formula unit: 1.51
D(E_F) in states/eV/f.u.: 9.82